Record 1
VASP calculation (PBE-GGA) on a geometry-optimized LiDyCdSe3 structure.

abc: 11.3847 4.0749 12.0754
angles: 90.00 90.00 90.00
Closest atoms and distances in Å follow each position.
Positions (direct):
Li1 0.1234 0.2500 0.0739  6 Se 2.78-2.91
Li2 0.3766 0.7500 0.5739  6 Se 2.78-2.91
Li3 0.6234 0.2500 0.4261  6 Se 2.78-2.91
Li4 0.8766 0.7500 0.9261  6 Se 2.78-2.91
Dy1 0.1248 0.2500 0.7527  6 Se 2.85-2.89
Dy2 0.3752 0.7500 0.2527  6 Se 2.85-2.89
Dy3 0.6248 0.2500 0.7473  6 Se 2.85-2.89
Dy4 0.8752 0.7500 0.2473  6 Se 2.85-2.89
Cd1 0.1263 0.2500 0.4036  6 Se 2.81-2.97
Cd2 0.3737 0.7500 0.9036  6 Se 2.81-2.97
Cd3 0.6263 0.2500 0.0964  6 Se 2.81-2.97
Cd4 0.8737 0.7500 0.5964  6 Se 2.81-2.97
Se1 0.1208 0.7500 0.5827  3 Cd 2.82-2.97, 2 Dy 2.89, 1 Li 2.91
Se2 0.1256 0.7500 0.2379  2 Li 2.84, 2 Dy 2.85, 2 Cd 2.86
Se3 0.1277 0.7500 0.9177  3 Li 2.78-2.86, 1 Cd 2.81, 2 Dy 2.85
Se4 0.3723 0.2500 0.4177  3 Li 2.78-2.86, 1 Cd 2.81, 2 Dy 2.85
Se5 0.3744 0.2500 0.7379  2 Li 2.84, 2 Dy 2.85, 2 Cd 2.86
Se6 0.3792 0.2500 0.0827  3 Cd 2.82-2.97, 2 Dy 2.89, 1 Li 2.91
Se7 0.6208 0.7500 0.9173  3 Cd 2.82-2.97, 2 Dy 2.89, 1 Li 2.91
Se8 0.6256 0.7500 0.2621  2 Li 2.84, 2 Dy 2.85, 2 Cd 2.86
Se9 0.6277 0.7500 0.5823  3 Li 2.78-2.86, 1 Cd 2.81, 2 Dy 2.85
Se10 0.8723 0.2500 0.0823  3 Li 2.78-2.86, 1 Cd 2.81, 2 Dy 2.85
Se11 0.8744 0.2500 0.7621  2 Li 2.84, 2 Dy 2.85, 2 Cd 2.86
Se12 0.8792 0.2500 0.4173  3 Cd 2.82-2.97, 2 Dy 2.89, 1 Li 2.91

Summary:
Raw total energy = -4.250 eV/atom
Crystal system = orthorhombic
Space-group type = Pnma (62)
E above lowest polymorph = 0 meV per atom


Record 2
VASP calculation (PBE-GGA) on a geometry-optimized LiDyTlCd structure.

abc: 7.1869 7.1869 7.1869
angles: 90.00 90.00 90.00
Closest atoms and distances in Å follow each position.
Positions (direct):
Li1 0.0000 0.0000 0.0000  4 Cd 3.11, 4 Tl 3.11
Li2 0.0000 0.5000 0.5000  4 Cd 3.11, 4 Tl 3.11
Li3 0.5000 0.0000 0.5000  4 Cd 3.11, 4 Tl 3.11
Li4 0.5000 0.5000 0.0000  4 Cd 3.11, 4 Tl 3.11
Dy1 0.0000 0.0000 0.5000  4 Tl 3.11, 4 Cd 3.11
Dy2 0.0000 0.5000 0.0000  4 Tl 3.11, 4 Cd 3.11
Dy3 0.5000 0.0000 0.0000  4 Tl 3.11, 4 Cd 3.11
Dy4 0.5000 0.5000 0.5000  4 Tl 3.11, 4 Cd 3.11
Tl1 0.2500 0.2500 0.7500  4 Dy 3.11, 4 Li 3.11
Tl2 0.2500 0.7500 0.2500  4 Dy 3.11, 4 Li 3.11
Tl3 0.7500 0.2500 0.2500  4 Dy 3.11, 4 Li 3.11
Tl4 0.7500 0.7500 0.7500  4 Dy 3.11, 4 Li 3.11
Cd1 0.2500 0.2500 0.2500  4 Dy 3.11, 4 Li 3.11
Cd2 0.2500 0.7500 0.7500  4 Dy 3.11, 4 Li 3.11
Cd3 0.7500 0.2500 0.7500  4 Dy 3.11, 4 Li 3.11
Cd4 0.7500 0.7500 0.2500  4 Dy 3.11, 4 Li 3.11

Summary:
Raw total energy = -2.757 eV/atom
Crystal system = cubic
Space-group type = F-43m (216)


Record 3
VASP calculation (PBE-GGA) on a geometry-optimized DyLuCd structure.

abc: 7.1458 7.1458 7.1458
angles: 90.00 90.00 90.00
Closest atoms and distances in Å follow each position.
Positions (direct):
Dy1 0.0000 0.0000 0.0000  4 Lu 3.09
Dy2 0.0000 0.5000 0.5000  4 Lu 3.09
Dy3 0.5000 0.0000 0.5000  4 Lu 3.09
Dy4 0.5000 0.5000 0.0000  4 Lu 3.09
Lu1 0.2500 0.2500 0.7500  4 Cd 3.09, 4 Dy 3.09
Lu2 0.2500 0.7500 0.2500  4 Cd 3.09, 4 Dy 3.09
Lu3 0.7500 0.2500 0.2500  4 Cd 3.09, 4 Dy 3.09
Lu4 0.7500 0.7500 0.7500  4 Cd 3.09, 4 Dy 3.09
Cd1 0.0000 0.0000 0.5000  4 Lu 3.09
Cd2 0.0000 0.5000 0.0000  4 Lu 3.09
Cd3 0.5000 0.0000 0.0000  4 Lu 3.09
Cd4 0.5000 0.5000 0.5000  4 Lu 3.09

Summary:
Raw total energy = -2.825 eV/atom
Energy relative to the elements = 11.89 kcal/mol of atoms
Crystal system = cubic
Space-group type = F-43m (216)


Record 4
VASP calculation (PBE-GGA) on a geometry-optimized DyMg2Cd structure.

abc: 5.1151 5.1151 7.1763
angles: 90.00 90.00 90.00
Closest atoms and distances in Å follow each position.
Positions (direct):
Dy1 0.0000 0.0000 0.0000  4 Cd 3.12, 4 Mg 3.12
Dy2 0.5000 0.5000 0.5000  4 Cd 3.12, 4 Mg 3.12
Mg1 0.0000 0.0000 0.5000  4 Cd 3.12, 4 Mg 3.12
Mg2 0.0000 0.5000 0.2500  4 Dy 3.12, 4 Mg 3.12
Mg3 0.5000 0.0000 0.7500  4 Dy 3.12, 4 Mg 3.12
Mg4 0.5000 0.5000 0.0000  4 Cd 3.12, 4 Mg 3.12
Cd1 0.0000 0.5000 0.7500  4 Dy 3.12, 4 Mg 3.12
Cd2 0.5000 0.0000 0.2500  4 Dy 3.12, 4 Mg 3.12

Summary:
Raw total energy = -2.346 eV/atom
Crystal system = tetragonal
Space-group type = I-4m2 (119)
E above lowest polymorph = 0 meV per atom